(1)
4
Lattice="2.708 0.000 0.000 0.000 4.014 0.000 -0.994 0.000 5.241" Properties=species:S:1:pos:R:3 comment="CuSiMo2 (PBE, optimized geometry)" space_group=P2/m e_form_raw_mev_per_atom=45 pbc="T T T"
Cu 0.000 0.000 0.000
Si -0.497 0.000 2.620
Mo 0.502 2.007 3.881
Mo 1.212 2.007 1.360

=====

(2)
12
Lattice="2.369 1.367 5.688 -2.369 1.367 5.688 0.000 -2.735 5.688" Properties=species:S:1:pos:R:3 comment="LaZnH8Rh2 (PBE, optimized geometry)" space_group=R-3 pbc="T T T"
La 0.000 0.000 0.000
Zn 0.000 0.000 8.532
H -1.710 0.194 7.688
H -1.023 -1.384 9.375
H 0.000 0.000 5.184
H 0.687 -1.578 7.688
H -0.687 1.578 9.375
H 0.000 0.000 11.879
H 1.023 1.384 7.688
H 1.710 -0.194 9.375
Rh 0.000 0.000 3.460
Rh 0.000 0.000 13.603

=====

(3)
5
Lattice="5.068 0.000 0.000 0.000 5.068 0.000 0.000 0.000 4.907" Properties=species:S:1:pos:R:3 comment="Mn2AgPtCl (PBE, optimized geometry)" space_group=P4/mmm e_form_raw_mev_per_atom=1016 pbc="T T T"
Mn 0.000 2.534 0.000
Mn 2.534 0.000 0.000
Ag 0.000 0.000 0.000
Pt 0.000 0.000 2.453
Cl 2.534 2.534 2.453

=====

(4)
12
Lattice="4.719 -5.109 0.000 4.719 5.109 0.000 -1.241 0.000 6.250" Properties=species:S:1:pos:R:3 comment="YMg5Sn6 (PBE, optimized geometry)" space_group=C2/m formation_enthalpy_0k_ev_per_atom=-0.1944 pbc="T T T"
Y 0.000 0.000 0.000
Mg 4.098 3.440 3.125
Mg 4.719 1.658 0.000
Mg 4.098 0.000 3.125
Mg 4.719 -1.658 0.000
Mg 4.098 -3.440 3.125
Sn 2.089 1.746 1.642
Sn 1.477 0.000 4.675
Sn 2.089 -1.746 1.642
Sn 6.108 1.746 4.608
Sn 6.720 0.000 1.576
Sn 6.108 -1.746 4.608

=====

(5)
19
Lattice="5.017 2.897 4.999 -5.017 2.897 4.999 0.000 -5.793 4.999" Properties=species:S:1:pos:R:3 comment="Ce2Mg5Cd12 (PBE, optimized geometry)" space_group=R-3m formation_enthalpy_0k_ev_per_atom=-0.1596 pbc="T T T"
Ce 0.000 0.000 2.470
Ce 0.000 0.000 12.526
Mg -2.509 -1.448 4.999
Mg 0.000 0.000 5.974
Mg -2.509 1.448 9.998
Mg 0.000 2.897 4.999
Mg 0.000 0.000 9.023
Cd 0.000 -2.949 4.691
Cd -2.554 1.474 4.691
Cd -1.479 -2.562 7.498
Cd -2.958 0.000 7.498
Cd -2.554 -1.474 10.305
Cd 1.479 -2.562 7.498
Cd -1.479 2.562 7.498
Cd 2.554 1.474 4.691
Cd 2.958 0.000 7.498
Cd 1.479 2.562 7.498
Cd 2.554 -1.474 10.305
Cd 0.000 2.949 10.305

=====

(6)
5
Lattice="4.375 0.000 0.000 0.000 4.375 0.000 0.000 0.000 4.375" Properties=species:S:1:pos:R:3 comment="ReNiRh3 (PBE, optimized geometry)" space_group=Pm-3m de_polymorph_mev_per_atom=1253 formation_enthalpy_0k_ev_per_atom=1.4954 pbc="T T T"
Re 0.000 0.000 0.000
Ni 2.187 2.187 2.187
Rh 0.000 2.187 2.187
Rh 2.187 0.000 2.187
Rh 2.187 2.187 0.000

=====

(7)
5
Lattice="5.541 0.000 0.000 0.000 5.541 0.000 0.000 0.000 5.145" Properties=species:S:1:pos:R:3 comment="Tl2HgGeIr (PBE, optimized geometry)" space_group=P4/mmm formation_enthalpy_0k_ev_per_atom=1.2065 pbc="T T T"
Tl 0.000 2.770 0.000
Tl 2.770 0.000 0.000
Hg 0.000 0.000 0.000
Ge 2.770 2.770 2.572
Ir 0.000 0.000 2.572

=====

(8)
4
Lattice="1.587 0.916 8.858 -1.587 0.916 8.858 0.000 -1.832 8.858" Properties=species:S:1:pos:R:3 comment="HfTiAu2 (PBE, optimized geometry)" space_group=R-3m de_polymorph_mev_per_atom=235 formation_enthalpy_0k_ev_per_atom=-0.1535 pbc="T T T"
Hf 0.000 0.000 0.000
Ti 0.000 0.000 13.286
Au 0.000 0.000 6.552
Au 0.000 0.000 20.021

=====

(9)
28
Lattice="5.184 0.000 0.000 0.000 15.557 0.000 0.000 0.000 10.832" Properties=species:S:1:pos:R:3 comment="Ba3Hg6Sb5 (PBE, optimized geometry)" space_group=Pmmn e_form_raw_mev_per_atom=-440 pbc="T T T"
Ba 1.296 0.968 2.697
Ba 1.296 6.810 2.697
Ba 1.296 11.668 2.928
Ba 3.888 3.889 7.903
Ba 3.888 8.747 8.135
Ba 3.888 14.588 8.135
Hg 1.296 1.017 9.826
Hg 1.296 3.889 0.876
Hg 1.296 3.889 5.004
Hg 1.296 6.761 9.826
Hg 1.296 9.213 5.651
Hg 1.296 14.122 5.651
Hg 3.888 1.435 5.181
Hg 3.888 6.344 5.181
Hg 3.888 8.796 1.006
Hg 3.888 11.668 5.828
Hg 3.888 11.668 9.956
Hg 3.888 14.539 1.006
Sb 1.296 1.381 6.869
Sb 1.296 6.397 6.869
Sb 1.296 9.778 10.666
Sb 1.296 11.668 7.499
Sb 1.296 13.557 10.666
Sb 3.888 2.000 0.166
Sb 3.888 3.889 3.333
Sb 3.888 5.779 0.166
Sb 3.888 9.159 3.963
Sb 3.888 14.176 3.963

=====

(10)
5
Lattice="4.773 0.000 0.000 0.000 4.773 0.000 0.000 0.000 4.773" Properties=species:S:1:pos:R:3 comment="Mn3HgOs (PBE, optimized geometry)" space_group=Pm-3m de_polymorph_mev_per_atom=0 formation_enthalpy_0k_ev_per_atom=1.1125 pbc="T T T"
Mn 0.000 0.000 2.387
Mn 0.000 2.387 0.000
Mn 2.387 0.000 0.000
Hg 2.387 2.387 2.387
Os 0.000 0.000 0.000

=====

(11)
7
Lattice="3.215 -6.917 0.000 3.215 6.917 0.000 0.000 0.000 5.140" Properties=species:S:1:pos:R:3 comment="Ce2PmTl4 (PBE, optimized geometry)" space_group=Cmmm de_polymorph_mev_per_atom=241 formation_enthalpy_0k_ev_per_atom=0.0917 pbc="T T T"
Ce 3.215 5.540 0.000
Ce 3.215 -5.540 0.000
Pm 3.215 0.000 2.570
Tl 3.215 3.634 2.570
Tl 3.215 1.903 0.000
Tl 3.215 -1.903 0.000
Tl 3.215 -3.634 2.570

=====

(12)
4
Lattice="4.484 -1.686 0.000 4.484 1.686 0.000 -1.133 0.000 5.893" Properties=species:S:1:pos:R:3 comment="TaTlAs2 (PBE, optimized geometry)" space_group=C2/m de_polymorph_mev_per_atom=278 formation_enthalpy_0k_ev_per_atom=0.1374 pbc="T T T"
Ta 0.000 0.000 0.000
Tl 3.918 0.000 2.947
As 1.536 0.000 4.927
As 6.299 0.000 0.966

=====

Q: Which M_tot values were calculated for the entries above? A: 0.00, 0.00, 9.34, 0.00, 2.23, 0.76, 0.00, 0.89, 0.00, 11.32, 2.58, 0.00, in μB per formula unit.
Q: Which calculated volume values were calculated for the entries above? A: 57.0, 110.5, 126.0, 301.4, 435.9, 83.7, 158.0, 77.3, 873.5, 108.8, 228.6, 89.1, in Å³/cell.
Q: Which raw total energy values were calculated for the entries above? A: -7.75, -4.17, -4.80, -3.40, -1.78, -6.56, -2.50, -6.25, -2.45, -6.70, -3.63, -5.74, in eV/atom.